Computed, not measured: a relaxed CdAsPtO crystal at the PBE-GGA level of DFT.

```
CdAsPtO
1.0
-1.2897 -2.1595 2.1859
6.0436 -3.5730 0.0358
2.0953 3.5920 4.7850
As O Pt Cd
2 2 2 2
Cartesian
5.6092 0.8716 4.1706
3.0195 -0.0128 1.7689
1.5312 1.8044 5.2262
5.7930 -3.1306 2.8651
4.3065 -3.7059 1.4197
1.7563 0.2172 3.7910
3.5476 2.5470 4.6095
5.4772 -1.0091 2.2346
```

excess energy over the best structure of this formula in the dataset: 0.2420 eV/atom
crystal system: orthorhombic

---

Computed, not measured: a relaxed CdAsPtO crystal at the PBE-GGA level of DFT.

```
CdAsPtO
1.0
-0.3613 0.4355 3.9921
1.0954 -3.8455 0.5187
7.9911 2.3394 0.4680
Pt O Cd As
2 2 2 2
Cartesian
7.7398 0.1828 0.6806
0.6183 0.4517 2.0428
0.0000 0.0000 0.0000
0.3670 -1.7050 2.2554
4.3626 -0.5353 2.4894
3.9955 1.1697 0.2340
5.7553 1.9555 2.3437
2.6028 -1.3211 0.3797
```

excess energy over the best structure of this formula in the dataset: 0.7361 eV/atom
crystal system: tetragonal

---

Computed, not measured: a relaxed CdAsPtO crystal at the PBE-GGA level of DFT.

```
CdAsPtO
1.0
-1.0288 -3.7889 -1.6638
0.4391 -1.8047 3.8383
-7.4464 1.3658 1.4940
Cd O Pt As
2 2 2 2
Cartesian
-7.1923 -2.9571 2.9852
-0.8437 -1.2707 0.6833
-0.6618 -3.2929 -0.2882
0.0721 -2.3007 2.4628
-3.6511 -1.6178 3.2098
-4.3850 -2.6100 0.4588
-5.1533 -0.4802 1.5480
-2.8827 -3.7476 2.1206
```

excess energy over the best structure of this formula in the dataset: 0.0000 eV/atom
crystal system: tetragonal

---

Computed, not measured: a relaxed RbCdAsO crystal at the PBE-GGA level of DFT.

```
RbCdAsO
1.0
3.1052 0.0000 0.0000
0.0000 9.4255 0.0000
0.0000 0.0000 6.9835
Cd As Rb O
2 2 2 2
Cartesian
1.5526 4.0377 0.3648
1.5526 5.3878 3.8566
0.0000 1.7543 6.4306
0.0000 7.6713 2.9389
0.0000 7.6654 6.4719
0.0000 1.7601 2.9802
1.5526 3.8153 2.4735
1.5526 5.6102 5.9653
```

excess energy over the best structure of this formula in the dataset: 0.2467 eV/atom
crystal system: orthorhombic

---

Computed, not measured: a relaxed RbCdAsO crystal at the PBE-GGA level of DFT.

```
RbCdAsO
1.0
4.4366 0.0000 0.0000
0.0000 4.4366 0.0000
0.0000 0.0000 11.6579
Cd O Rb As
2 2 2 2
Cartesian
1.1092 1.1092 11.0643
3.3274 3.3274 0.5936
3.3274 1.1092 0.0000
1.1092 3.3274 0.0000
1.1092 3.3274 5.8289
3.3274 1.1092 5.8289
3.3274 3.3274 3.2981
1.1092 1.1092 8.3597
```

excess energy over the best structure of this formula in the dataset: 0.6932 eV/atom
crystal system: tetragonal

---

Computed, not measured: a relaxed RbCdAsO crystal at the PBE-GGA level of DFT.

```
RbCdAsO
1.0
4.1765 0.0000 0.0000
0.0000 4.1765 0.0000
0.0000 0.0000 11.8650
Rb O Cd As
2 2 2 2
Cartesian
0.0000 2.0883 10.1114
2.0883 0.0000 1.7536
2.0883 2.0883 0.0000
0.0000 0.0000 0.0000
2.0883 2.0883 5.9325
0.0000 0.0000 5.9325
0.0000 2.0883 4.1181
2.0883 0.0000 7.7469
```

excess energy over the best structure of this formula in the dataset: 0.5728 eV/atom
crystal system: tetragonal

---

Which of these has the lowest excess energy over the best structure of this formula in the dataset? number 3